PmNd4SmHo2 after structural relaxation. Source: the Alexandria database, functional PBE-GGA.

It has space group P2/m (No. 10), with a = 6.285 Å, b = 3.642 Å, c = 12.006 Å, α = 90.00°, β = 100.18° and γ = 90.00°. The inequivalent atoms are Pm at (0.000, 0.000, 0.000), Nd at (0.251, 0.000, 0.751), Nd at (0.251, 0.500, 0.252), Sm at (0.000, 0.500, 0.500), Ho at (0.500, 0.000, 0.500) and Ho at (0.500, 0.500, 0.000).

The energy of formation from the pure elements is 15 meV/atom. The value obtained for the raw total energy is -4.697 eV per atom.

HoMo2N4 after structural relaxation. Source: the Alexandria database, functional PBE-GGA.

It has space group Cmcm (No. 63), with a = 3.132 Å, b = 10.023 Å, c = 10.153 Å, α = 90.00°, β = 90.00° and γ = 90.00°. The inequivalent atoms are Ho at (0.000, 0.127, 0.250), Mo at (0.000, 0.382, 0.065), N at (0.000, 0.000, 0.000), N at (0.000, 0.266, 0.609) and N at (0.000, 0.437, 0.250).

The formation energy without anion corrections is -705 meV/atom. The value obtained for the raw total energy is -9.211 eV per atom.

Ho4HgPd2 after structural relaxation. Source: the Alexandria database, functional PBE-GGA.

It has space group R-3m (No. 166, hexagonal axes), with a = 4.9721 Å, b = 4.9721 Å, c = 24.5598 Å, α = 90.00°, β = 90.00° and γ = 120.00°. The inequivalent atoms are Ho at (0.0000, 0.0000, 0.1191), Ho at (0.0000, 0.0000, 0.3713), Hg at (0.0000, 0.0000, 0.5000) and Pd at (0.0000, 0.0000, 0.2530).

The energy of formation from the pure elements is -590 meV/atom. The value obtained for the raw total energy is -4.733 eV per atom.

TmCuCl6 after structural relaxation. Source: the Alexandria database, functional PBE-GGA.

It has space group P-1 (No. 2), with a = 5.503 Å, b = 6.719 Å, c = 7.212 Å, α = 67.39°, β = 72.28° and γ = 87.23°. The inequivalent atoms are Tm at (0.000, 0.000, 0.000), Cu at (0.500, 0.500, 0.000), Cl at (0.010, 0.805, 0.371), Cl at (0.289, 0.373, 0.843) and Cl at (0.410, 0.829, 0.822).

The formation energy without anion corrections is -1193 meV/atom. The value obtained for the raw total energy is -3.649 eV per atom.